No. 1
TbCdInAg: relaxed, PBE-GGA.

Results
Magnetization: 0.0 μB/cell
ΔH_f (0 K): -0.301 eV per atom

a = 5.0331 Å, b = 5.0331 Å, c = 5.0331 Å
α = 60.00°, β = 60.00°, γ = 60.00°
Atoms (fractional coordinates):
Tb 0.0000 0.0000 0.0000
Cd 0.7500 0.7500 0.7500
In 0.5000 0.5000 0.5000
Ag 0.2500 0.2500 0.2500

No. 2
Er4NiHg: relaxed, PBE-GGA.

Results
Energy relative to the lowest polymorph listed for this composition: 185 meV/atom
Magnetization: 0.0 μB/cell
ΔH_f (0 K): -0.179 eV per atom

a = 6.9809 Å, b = 7.0111 Å, c = 6.8629 Å
α = 90.00°, β = 94.84°, γ = 90.00°
Atoms (fractional coordinates):
Er 0.1433 0.1652 0.1857
Er 0.1433 0.3348 0.6857
Er 0.3205 0.6461 0.1146
Er 0.3205 0.8539 0.6146
Er 0.6795 0.1461 0.3854
Er 0.6795 0.3539 0.8854
Er 0.8567 0.6652 0.3143
Er 0.8567 0.8348 0.8143
Ni 0.0000 0.0000 0.5000
Ni 0.0000 0.5000 0.0000
Hg 0.5000 0.0000 0.0000
Hg 0.5000 0.5000 0.5000

No. 3
MgBr: relaxed, PBE-GGA.

Results
Magnetization: 0.0 μB/cell
VASP energy: -9.79 eV for the cell shown

a = 3.6590 Å, b = 3.4728 Å, c = 9.4927 Å
α = 90.00°, β = 98.96°, γ = 90.00°
Atoms (fractional coordinates):
Mg 0.0446 0.2500 0.1389
Mg 0.9554 0.7500 0.8611
Br 0.3870 0.2500 0.7151
Br 0.6130 0.7500 0.2849

No. 4
V2FeGe4: relaxed, PBE-GGA.

Results
Energy relative to the lowest polymorph listed for this composition: 438 meV/atom
Magnetization: 0.6 μB/cell
ΔH_f (0 K): 0.404 eV per atom

a = 6.8693 Å, b = 6.8693 Å, c = 6.8693 Å
α = 141.28°, β = 141.28°, γ = 55.91°
Atoms (fractional coordinates):
V 0.0963 0.0963 0.0000
V 0.9037 0.9037 0.0000
Fe 0.5000 0.5000 0.0000
Ge 0.0000 0.5000 0.5000
Ge 0.3051 0.3051 0.0000
Ge 0.5000 0.0000 0.5000
Ge 0.6949 0.6949 0.0000

> Which formula does entry 1 have?

TbCdInAg

> magnetization of number 4 (V2FeGe4)?

0.6 μB/cell

> Among the records above, which one has the highest magnetization?

V2FeGe4